No. 1
Li2ScIr | PBE | relaxed

Computed properties:
Space group: Pmmm (47)
Magnetic moment in μB/atom: 0.000
DFT total energy in eV per atom: -4.87
Offset from the most stable computed form in meV/atom: 242.9
V in Å³ per atom: 15.87
Fermi-level density of states in states/eV/atom: 0.70
ΔH_f (0 K) in meV per atom: -119

a = 2.9387 Å, b = 4.1747 Å, c = 5.1748 Å
α = 90.00°, β = 90.00°, γ = 90.00°
Closest atoms and distances in Å follow each position.
Fractional positions:
Li  0.0000  0.0000  0.2078  1 Li 2.15
Li  0.0000  0.0000  0.7922  1 Li 2.15
Sc  0.5000  0.5000  0.5000  2 Ir 2.59
Ir  0.5000  0.5000  0.0000  2 Sc 2.59, 8 Li 2.77

No. 2
LiSc2Ir | PBE | relaxed

Computed properties:
Space group: F-43m (216)
Magnetic moment in μB/atom: 0.000
DFT total energy in eV per atom: -6.17
V in Å³ per atom: 16.87
Fermi-level density of states in states/eV/atom: 0.80
ΔH_f (0 K) in meV per atom: -306

a = 4.5697 Å, b = 4.5697 Å, c = 4.5697 Å
α = 60.00°, β = 60.00°, γ = 60.00°
Closest atoms and distances in Å follow each position.
Fractional positions:
Li  0.0000  0.0000  0.0000  4 Ir 2.80, 4 Sc 2.80
Sc  0.5000  0.5000  0.5000  4 Sc 2.80, 4 Ir 2.80
Sc  0.7500  0.7500  0.7500  4 Sc 2.80, 4 Li 2.80
Ir  0.2500  0.2500  0.2500  4 Sc 2.80, 4 Li 2.80